(1)
Computed, not measured: a relaxed structure of Ca2BeW at the PBE level of DFT.

Cell lengths 8.767, 8.767, 3.401 Å; angles 78.81, 78.81, 22.09 degrees
Element x y z (fractional)
Be: 0.250 0.250 0.250
Ca: 0.901 0.901 0.099
Ca: 0.599 0.599 0.401
W: 0.750 0.750 0.750

Properties
The calculation puts the volume at 96 Å³/f.u. The value obtained for the calculated formation energy is 12.48 kcal/mol of atoms. Its density of states at the Fermi level is 2.9 states/eV/f.u.



(2)
Computed, not measured: a relaxed structure of HfZnI2O at the PBE level of DFT.

Cell lengths 5.717, 5.717, 3.583 Å; angles 90.00, 90.00, 90.00 degrees
Element x y z (fractional)
I: 0.000 0.500 0.000
I: 0.500 0.000 0.000
Zn: 0.000 0.000 0.000
Hf: 0.500 0.500 0.500
O: 0.000 0.000 0.500

Properties
The value obtained for the raw formation energy is -6.0 kJ/mol of atoms. The calculation puts the volume at 117 Å³/f.u. The value obtained for the excess energy over the best structure of this formula in the dataset is 4.85 eV per formula unit. Its density of states at the Fermi level is 3.1 states/eV/f.u.



(3)
Computed, not measured: a relaxed structure of Li2Co at the PBE level of DFT.

Cell lengths 2.558, 2.558, 6.922 Å; angles 90.00, 90.00, 120.00 degrees
Each line ends with the local moment (μB).
Element x y z (fractional)
Co: 0.000 0.000 0.000  1.58
Li: 0.667 0.333 0.689  -0.03
Li: 0.333 0.667 0.311  -0.03

Properties
The calculation puts the volume at 39 Å³/f.u. The value obtained for the calculated formation energy is 3.55 kcal/mol of atoms. Its density of states at the Fermi level is 2.1 states/eV/f.u.



(4)
Computed, not measured: a relaxed structure of Y2GaCo5Si2 at the PBE level of DFT.

Cell lengths 3.280, 9.395, 9.395 Å; angles 90.00, 90.00, 90.00 degrees
Element x y z (fractional)
Y: 0.000 0.678 0.178
Y: 0.000 0.322 0.822
Y: 0.000 0.178 0.322
Y: 0.000 0.822 0.678
Ga: 0.000 0.000 0.000
Ga: 0.000 0.500 0.500
Co: 0.500 0.216 0.065
Co: 0.500 0.784 0.935
Co: 0.500 0.065 0.784
Co: 0.500 0.716 0.435
Co: 0.500 0.935 0.216
Co: 0.500 0.284 0.565
Co: 0.500 0.565 0.716
Co: 0.500 0.435 0.284
Co: 0.500 0.500 0.000
Co: 0.500 0.000 0.500
Si: 0.000 0.119 0.619
Si: 0.000 0.881 0.381
Si: 0.000 0.619 0.881
Si: 0.000 0.381 0.119

Properties
The value obtained for the raw formation energy is -41.0 kJ/mol of atoms. The calculation puts the volume at 145 Å³/f.u. Its density of states at the Fermi level is 4.7 states/eV/f.u.



(5)
Computed, not measured: a relaxed structure of TaSi at the PBE level of DFT.

Cell lengths 3.914, 3.914, 5.078 Å; angles 90.00, 90.00, 120.00 degrees
Element x y z (fractional)
Si: 0.000 0.000 0.000
Si: 0.000 0.000 0.500
Ta: 0.333 0.667 0.250
Ta: 0.667 0.333 0.750

Properties
The value obtained for the raw formation energy is -8.3 kJ/mol of atoms. The calculation puts the volume at 34 Å³/f.u. Its density of states at the Fermi level is 1.4 states/eV/f.u.



(6)
Computed, not measured: a relaxed structure of Tb3Er3Cu4 at the PBE level of DFT.

Cell lengths 3.699, 7.900, 7.900 Å; angles 89.27, 90.00, 90.00 degrees
Element x y z (fractional)
Tb: 0.500 0.838 0.162
Tb: 0.500 0.332 0.338
Tb: 0.500 0.662 0.668
Er: 0.000 0.499 0.004
Er: 0.000 0.996 0.501
Er: 0.500 0.168 0.832
Cu: 0.000 0.622 0.378
Cu: 0.000 0.376 0.624
Cu: 0.000 0.882 0.875
Cu: 0.000 0.125 0.118

Properties
The calculation puts the volume at 231 Å³/f.u. The value obtained for the calculated formation energy is -3.79 kcal/mol of atoms. Its density of states at the Fermi level is 11.7 states/eV/f.u.



(7)
Computed, not measured: a relaxed structure of NaLiGe2 at the PBE level of DFT.

Cell lengths 4.706, 5.798, 6.543 Å; angles 90.00, 90.00, 113.94 degrees
Element x y z (fractional)
Na: 0.916 0.831 0.250
Na: 0.084 0.169 0.750
Li: 0.214 0.429 0.250
Li: 0.786 0.571 0.750
Ge: 0.383 0.767 0.938
Ge: 0.617 0.233 0.062
Ge: 0.617 0.233 0.438
Ge: 0.383 0.767 0.562

Properties
The calculation puts the volume at 82 Å³/f.u. The value obtained for the excess energy over the best structure of this formula in the dataset is 0.00 eV per formula unit. The value obtained for the calculated formation energy is -4.13 kcal/mol of atoms. Its density of states at the Fermi level is 0.7 states/eV/f.u.



(8)
Computed, not measured: a relaxed structure of LiNd2Cd2Pd5 at the PBE level of DFT.

Cell lengths 3.672, 10.481, 10.481 Å; angles 90.00, 90.00, 90.00 degrees
Element x y z (fractional)
Li: 0.000 0.000 0.000
Li: 0.000 0.500 0.500
Nd: 0.000 0.668 0.168
Nd: 0.000 0.332 0.832
Nd: 0.000 0.168 0.332
Nd: 0.000 0.832 0.668
Cd: 0.000 0.133 0.633
Cd: 0.000 0.867 0.367
Cd: 0.000 0.633 0.867
Cd: 0.000 0.367 0.133
Pd: 0.500 0.193 0.036
Pd: 0.500 0.807 0.964
Pd: 0.500 0.036 0.807
Pd: 0.500 0.693 0.464
Pd: 0.500 0.964 0.193
Pd: 0.500 0.307 0.536
Pd: 0.500 0.536 0.693
Pd: 0.500 0.464 0.307
Pd: 0.500 0.500 0.000
Pd: 0.500 0.000 0.500

Properties
The calculation puts the volume at 202 Å³/f.u. The value obtained for the calculated formation energy is -9.64 kcal/mol of atoms. Its density of states at the Fermi level is 6.1 states/eV/f.u.



(9)
Computed, not measured: a relaxed structure of AlMo4Os at the PBE level of DFT.

Cell lengths 5.159, 5.159, 5.159 Å; angles 60.00, 60.00, 60.00 degrees
Element x y z (fractional)
Al: 0.000 0.000 0.000
Mo: 0.626 0.626 0.121
Mo: 0.626 0.121 0.626
Mo: 0.626 0.626 0.626
Mo: 0.121 0.626 0.626
Os: 0.250 0.250 0.250

Properties
The calculation puts the volume at 97 Å³/f.u. The value obtained for the calculated formation energy is 7.79 kcal/mol of atoms. Its density of states at the Fermi level is 6.8 states/eV/f.u.



(10)
Computed, not measured: a relaxed structure of Na3LiFe at the PBE level of DFT.

Cell lengths 5.574, 5.574, 5.574 Å; angles 90.00, 90.00, 90.00 degrees
Each line ends with the local moment (μB).
Element x y z (fractional)
Na: 0.000 0.500 0.000  0.01
Na: 0.000 0.000 0.500  0.00
Na: 0.500 0.000 0.000  0.00
Fe: 0.000 0.000 0.000  2.85
Li: 0.500 0.500 0.500  -0.01

Properties
The calculation puts the volume at 173 Å³/f.u. The value obtained for the excess energy over the best structure of this formula in the dataset is 0.00 eV per formula unit. The value obtained for the calculated formation energy is 18.38 kcal/mol of atoms. Its density of states at the Fermi level is 19.1 states/eV/f.u.



(11)
Computed, not measured: a relaxed structure of Al2IrAu at the PBE level of DFT.

Cell lengths 2.830, 3.028, 7.688 Å; angles 90.00, 90.00, 90.00 degrees
Element x y z (fractional)
Al: 0.000 0.000 0.294
Al: 0.000 0.000 0.706
Ir: 0.500 0.500 0.500
Au: 0.500 0.000 0.000

Properties
The calculation puts the volume at 66 Å³/f.u. The value obtained for the calculated formation energy is -13.61 kcal/mol of atoms. Its density of states at the Fermi level is 1.1 states/eV/f.u.



(12)
Computed, not measured: a relaxed structure of CsRbLi2Ir at the PBE level of DFT.

Cell lengths 6.061, 5.312, 6.061 Å; angles 90.00, 90.00, 90.00 degrees
Element x y z (fractional)
Cs: 0.000 0.000 0.000
Ir: 0.000 0.500 0.000
Rb: 0.500 0.500 0.500
Li: 0.000 0.000 0.500
Li: 0.500 0.000 0.000

Properties
The calculation puts the volume at 195 Å³/f.u. The value obtained for the excess energy over the best structure of this formula in the dataset is 0.00 eV per formula unit. The value obtained for the calculated formation energy is 25.64 kcal/mol of atoms. Its density of states at the Fermi level is 3.4 states/eV/f.u.



- Which formula does entry 2 have?
  HfZnI2O



- What is the volume in the fourth record?
  145 Å³/f.u.